Entry 1:
{"formula": "AlPRh2", "functional": "PBE-GGA", "state": "optimized geometry", "mass_density_g_cm3": 8.08, "e_form_ev_per_atom": -0.489, "cell": [[6.0070, 0.0000, 0.0000], [0.0000, 6.0070, 0.0000], [0.0000, 0.0000, 6.0070]], "species": ["Al", "Al", "Al", "Al", "P", "P", "P", "P", "Rh", "Rh", "Rh", "Rh", "Rh", "Rh", "Rh", "Rh"], "fractional_positions": [[0.0000, 0.0000, 0.0000], [0.0000, 0.5000, 0.5000], [0.5000, 0.0000, 0.5000], [0.5000, 0.5000, 0.0000], [0.0000, 0.0000, 0.5000], [0.0000, 0.5000, 0.0000], [0.5000, 0.0000, 0.0000], [0.5000, 0.5000, 0.5000], [0.2500, 0.2500, 0.2500], [0.2500, 0.2500, 0.7500], [0.2500, 0.7500, 0.2500], [0.2500, 0.7500, 0.7500], [0.7500, 0.2500, 0.2500], [0.7500, 0.2500, 0.7500], [0.7500, 0.7500, 0.2500], [0.7500, 0.7500, 0.7500]]}



Entry 2:
{"formula": "Tb6In6Sn", "functional": "PBE-GGA", "state": "optimized geometry", "mass_density_g_cm3": 7.88, "e_form_ev_per_atom": -0.328, "cell": [[6.3934, 0.0000, 0.0000], [-3.1967, 5.5368, 0.0000], [0.0000, 0.0000, 10.4847]], "species": ["Tb", "Tb", "Tb", "Tb", "Tb", "Tb", "In", "In", "In", "In", "In", "In", "Sn"], "fractional_positions": [[0.0000, 0.0000, 0.1960], [0.0000, 0.0000, 0.8040], [0.3333, 0.6667, 0.0000], [0.3333, 0.6667, 0.5000], [0.6667, 0.3333, 0.0000], [0.6667, 0.3333, 0.5000], [0.0000, 0.5000, 0.2478], [0.0000, 0.5000, 0.7522], [0.5000, 0.0000, 0.2478], [0.5000, 0.0000, 0.7522], [0.5000, 0.5000, 0.2478], [0.5000, 0.5000, 0.7522], [0.0000, 0.0000, 0.5000]]}



Entry 3:
{"formula": "LaTm7Sc2", "functional": "PBE-GGA", "state": "optimized geometry", "mass_density_g_cm3": 7.89, "e_form_ev_per_atom": 0.044, "cell": [[-2.6388, 3.4515, 8.1508], [2.6388, -3.4515, 8.1508], [2.6388, 3.4515, -8.1508]], "species": ["La", "Tm", "Tm", "Tm", "Tm", "Tm", "Tm", "Tm", "Sc", "Sc"], "fractional_positions": [[0.0000, 0.0000, 0.0000], [0.1409, 0.3867, 0.7542], [0.2037, 0.2037, 0.0000], [0.3676, 0.6133, 0.7542], [0.5000, 0.0000, 0.5000], [0.6324, 0.3867, 0.2458], [0.7963, 0.7963, 0.0000], [0.8591, 0.6133, 0.2458], [0.3003, 0.8003, 0.5000], [0.6997, 0.1997, 0.5000]]}



Entry 4:
{"formula": "MgHgPb", "functional": "PBE-GGA", "state": "optimized geometry", "mass_density_g_cm3": 9.07, "e_form_ev_per_atom": -0.016, "cell": [[3.6471, 0.0000, 0.0000], [1.8204, 6.2967, 0.0000], [0.0374, 1.7410, 6.8875]], "species": ["Mg", "Mg", "Hg", "Hg", "Pb", "Pb"], "fractional_positions": [[0.1303, 0.2355, 0.3122], [0.8697, 0.7645, 0.6878], [0.5000, 0.5000, 0.0000], [0.5000, 0.5000, 0.5000], [0.1845, 0.1336, 0.8042], [0.8155, 0.8664, 0.1958]]}



Entry 5:
{"formula": "Pr2InP2N6", "functional": "PBE-GGA", "state": "optimized geometry", "mass_density_g_cm3": 5.37, "formation_energy_uncorrected_mev_per_atom": -461.2, "cell": [[5.6739, 0.0000, 0.0000], [-2.8369, 4.9137, 0.0000], [0.0000, 0.0000, 6.0209]], "species": ["Pr", "Pr", "In", "P", "P", "N", "N", "N", "N", "N", "N"], "fractional_positions": [[0.3333, 0.6667, 0.3434], [0.6667, 0.3333, 0.6566], [0.0000, 0.0000, 0.0000], [0.3333, 0.6667, 0.8302], [0.6667, 0.3333, 0.1698], [0.0885, 0.3646, 0.7706], [0.2761, 0.9115, 0.7706], [0.3646, 0.2761, 0.2294], [0.6354, 0.7239, 0.7706], [0.7239, 0.0885, 0.2294], [0.9115, 0.6354, 0.2294]]}



Entry 6:
{"formula": "AcCe3Pr2Se6", "functional": "PBE-GGA", "state": "optimized geometry", "mass_density_g_cm3": 7.04, "formation_energy_uncorrected_mev_per_atom": -1831.9, "cell": [[3.6896, -6.3955, 0.0000], [3.6896, 6.3955, 0.0000], [-2.4675, 0.0000, 7.0114]], "species": ["Ac", "Ce", "Ce", "Ce", "Pr", "Pr", "Se", "Se", "Se", "Se", "Se", "Se"], "fractional_positions": [[0.0000, 0.0000, 0.0000], [0.1647, 0.8353, 0.5000], [0.5000, 0.5000, 0.5000], [0.8353, 0.1647, 0.5000], [0.3329, 0.6671, 0.0000], [0.6671, 0.3329, 0.0000], [0.0866, 0.4261, 0.2594], [0.2542, 0.2542, 0.7432], [0.4261, 0.0866, 0.2594], [0.5739, 0.9134, 0.7406], [0.7458, 0.7458, 0.2568], [0.9134, 0.5739, 0.7406]]}



Entry 7:
{"formula": "SrY2PuSe4", "functional": "PBE-GGA", "state": "optimized geometry", "mass_density_g_cm3": 6.62, "formation_energy_uncorrected_mev_per_atom": -1767.3, "cell": [[7.2448, 0.0000, 0.0000], [0.0000, 4.1605, 0.0000], [-2.3992, 0.0000, 6.8723]], "species": ["Sr", "Y", "Y", "Pu", "Se", "Se", "Se", "Se"], "fractional_positions": [[0.0000, 0.0000, 0.0000], [0.0000, 0.5000, 0.5000], [0.5000, 0.0000, 0.5000], [0.5000, 0.5000, 0.0000], [0.2520, 0.0000, 0.7407], [0.2592, 0.5000, 0.2645], [0.7408, 0.5000, 0.7355], [0.7480, 0.0000, 0.2593]]}



Entry 8:
{"formula": "Y4InIr", "functional": "PBE-GGA", "state": "optimized geometry", "mass_density_g_cm3": 7.08, "e_form_ev_per_atom": 0.460, "cell": [[0.0000, 4.2664, 4.2664], [4.2664, 0.0000, 4.2664], [4.2664, 4.2664, 0.0000]], "species": ["Y", "Y", "Y", "Y", "In", "Ir"], "fractional_positions": [[0.3761, 0.3761, 0.3761], [0.3761, 0.3761, 0.8716], [0.3761, 0.8716, 0.3761], [0.8716, 0.3761, 0.3761], [0.0000, 0.0000, 0.0000], [0.7500, 0.7500, 0.7500]]}